# 1
## AcPdNO (PBE)

Data for a relaxed structure of AcPdNO.

abc: 4.198 4.198 7.686
angles: 90.00 90.00 90.00
Fractional coordinates of all 8 atoms:
Ac  0.250  0.250  0.167
Ac  0.750  0.750  0.833
Pd  0.250  0.750  0.500
Pd  0.750  0.250  0.500
N  0.750  0.750  0.436
N  0.250  0.250  0.564
O  0.750  0.250  0.000
O  0.250  0.750  0.000

Properties
* energy: -6.87 eV/atom
* V: 135.4 Å³/cell
* space-group type: P4/nmm (129)
* crystal system: tetragonal
* polymorph energy (0 for the lowest one): 0.110 eV/atom
* total magnetization: 0.000 μB per atom

---

# 2
## TaRe5 (PBE)

Data for a relaxed structure of TaRe5.

abc: 5.167 5.167 8.288
angles: 90.00 90.00 120.00
Fractional coordinates of all 12 atoms:
Re  0.667  0.333  0.933
Re  0.826  0.652  0.250
Re  0.333  0.667  0.433
Re  0.174  0.826  0.750
Re  0.348  0.174  0.250
Re  0.667  0.333  0.567
Re  0.652  0.826  0.750
Re  0.826  0.174  0.250
Re  0.333  0.667  0.067
Re  0.174  0.348  0.750
Ta  0.000  0.000  0.500
Ta  0.000  0.000  0.000

Properties
* energy of formation from the pure elements: 0.361 eV per atom
* energy: -11.97 eV/atom
* V: 191.6 Å³/cell
* space-group type: P6_3/mmc (194)
* crystal system: hexagonal
* polymorph energy (0 for the lowest one): 0.288 eV/atom
* total magnetization: 0.001 μB per atom

---

# 3
## KSrHoSe3 (PBE)

Data for a relaxed structure of KSrHoSe3.

abc: 9.411 9.411 10.141
angles: 104.16 104.16 26.22
Fractional coordinates of all 12 atoms:
Se  0.669  0.669  0.882
Se  0.327  0.327  0.731
Se  0.500  0.500  0.500
Se  0.331  0.331  0.118
Se  0.673  0.673  0.269
Se  0.000  0.000  0.000
Ho  0.175  0.175  0.084
Ho  0.825  0.825  0.916
K  0.855  0.855  0.431
K  0.145  0.145  0.569
Sr  0.503  0.503  0.216
Sr  0.497  0.497  0.784

Properties
* energy: -4.71 eV/atom
* V: 384.1 Å³/cell
* space-group type: C2/m (12)
* crystal system: monoclinic
* total magnetization: 0.000 μB per atom

---

Please write out number 1 again, unchanged.
## AcPdNO (PBE)

Data for a relaxed structure of AcPdNO.

abc: 4.198 4.198 7.686
angles: 90.00 90.00 90.00
Fractional coordinates of all 8 atoms:
Ac  0.250  0.250  0.167
Ac  0.750  0.750  0.833
Pd  0.250  0.750  0.500
Pd  0.750  0.250  0.500
N  0.750  0.750  0.436
N  0.250  0.250  0.564
O  0.750  0.250  0.000
O  0.250  0.750  0.000

Properties
* energy: -6.87 eV/atom
* V: 135.4 Å³/cell
* space-group type: P4/nmm (129)
* crystal system: tetragonal
* polymorph energy (0 for the lowest one): 0.110 eV/atom
* total magnetization: 0.000 μB per atom